(1)
12
Lattice="-4.5742 4.3353 -1.9120 -1.0742 -3.6581 -5.7245 -1.7132 -3.7805 6.8691" Properties=species:S:1:pos:R:3 comment="Na3ZnS2 | Alexandria via LeMat-Bulk | PBE-GGA | relaxed" e_tot_ev_per_atom=-2.968 m_tot_mub_per_cell=0.0 pbc="T T T"
S -2.9480 -1.5577 -2.5833
Na -2.9253 -4.3515 -2.8681
Zn -0.5371 -1.8290 -2.8623
S -2.8381 -5.3769 -0.1633
Zn 0.0000 0.0000 0.0000
S -4.4136 -1.5457 1.8159
Na -4.4362 1.2482 2.1008
Na -2.3882 -2.5225 -0.0059
S -4.5234 2.2735 -0.6040
Na -4.9733 -0.5809 -0.7615
Na -2.5556 1.2531 -2.3871
Na -3.0927 -0.5759 -5.2494


(2)
5
Lattice="-2.5354 1.6906 -3.2514 0.7400 -3.6361 -2.4677 -3.5892 -1.9440 1.7880" Properties=species:S:1:pos:R:3 comment="NbNi4 | Alexandria via LeMat-Bulk | PBE-GGA | relaxed" e_form_ev_per_atom=1.50 e_tot_ev_per_atom=-5.136 m_tot_mub_per_cell=0.0 polymorph_energy_ev_per_atom=1.696 pbc="T T T"
Ni -1.4246 -2.7900 -0.3398
Ni 0.0000 0.0000 0.0000
Ni -3.0623 -0.1267 -0.7317
Ni -0.8977 -0.9727 -2.8596
Nb -2.6923 -1.9447 -1.9655


(3)
5
Lattice="-3.8895 -3.2494 1.9957 3.5920 -2.1650 3.4756 -1.5064 4.4690 4.3406" Properties=species:S:1:pos:R:3 comment="BaLiCa2S | Alexandria via LeMat-Bulk | PBE-GGA | relaxed" e_tot_ev_per_atom=-3.091 m_tot_mub_per_cell=0.0 pbc="T T T"
Ca 1.7960 -1.0825 1.7378
Ba -0.7532 2.2345 2.1703
Li -0.9019 -0.4727 4.9059
Ca -1.9447 -1.6247 0.9978
S 0.0000 0.0000 0.0000


(4)
6
Lattice="-1.2819 1.6942 -1.4103 -1.2672 -1.6579 1.4656 0.1648 4.1722 4.8622" Properties=species:S:1:pos:R:3 comment="BC5 | Alexandria via LeMat-Bulk | PBE-GGA | relaxed" e_form_ev_per_atom=0.25 e_tot_ev_per_atom=-8.548 m_tot_mub_per_cell=0.0 polymorph_energy_ev_per_atom=0.043 pbc="T T T"
C -1.1813 3.0019 2.3745
B -1.2708 -0.5079 0.5450
C -1.2211 1.9924 1.1981
C 0.1481 3.7497 4.3698
C 0.1095 2.7717 3.2301
C -1.2294 0.5424 1.7690


Repeat the second record exactly.
5
Lattice="-2.5354 1.6906 -3.2514 0.7400 -3.6361 -2.4677 -3.5892 -1.9440 1.7880" Properties=species:S:1:pos:R:3 comment="NbNi4 | Alexandria via LeMat-Bulk | PBE-GGA | relaxed" e_form_ev_per_atom=1.50 e_tot_ev_per_atom=-5.136 m_tot_mub_per_cell=0.0 polymorph_energy_ev_per_atom=1.696 pbc="T T T"
Ni -1.4246 -2.7900 -0.3398
Ni 0.0000 0.0000 0.0000
Ni -3.0623 -0.1267 -0.7317
Ni -0.8977 -0.9727 -2.8596
Nb -2.6923 -1.9447 -1.9655